Record 1
This record from Alexandria via LeMat-Bulk describes a relaxed structure of VTePdI2. The functional is PBE.

Lattice parameters (Å, degrees): 5.396 5.396 5.479 90.00 90.00 90.00
Space group P4/mmm (No. 123)
Unique sites:
V  0.000  0.000  0.000 [1 per cell]
Te  0.500  0.500  0.000 [1 per cell]
Pd  0.500  0.500  0.500 [1 per cell]
I  0.000  0.500  0.500 [2 per cell]

Properties
Polymorph energy (0 for the lowest one)   0.1253 eV per atom
Energy relative to the elements, uncorrected   54.5 kJ per mole of atoms
Total DFT energy (no corrections)   -3.546 eV/atom



Record 2
This record from Alexandria via LeMat-Bulk describes a relaxed structure of TePdW2I. The functional is PBE.

Lattice parameters (Å, degrees): 5.101 5.101 5.064 90.00 90.00 90.00
Space group P4/mmm (No. 123)
Unique sites:
Te  0.000  0.000  0.000 [1 per cell]
Pd  0.000  0.000  0.500 [1 per cell]
W  0.000  0.500  0.500 [2 per cell]
I  0.500  0.500  0.000 [1 per cell]

Properties
Energy relative to the elements, uncorrected   193.2 kJ per mole of atoms
Total DFT energy (no corrections)   -5.156 eV/atom



Record 3
This record from Alexandria via LeMat-Bulk describes a relaxed structure of Te2PdWI. The functional is PBE.

Lattice parameters (Å, degrees): 5.291 5.291 5.280 90.00 90.00 90.00
Space group P4/mmm (No. 123)
Unique sites:
Te  0.000  0.500  0.000 [2 per cell]
Pd  0.000  0.000  0.000 [1 per cell]
W  0.500  0.500  0.500 [1 per cell]
I  0.000  0.000  0.500 [1 per cell]

Properties
Polymorph energy (0 for the lowest one)   0.3898 eV per atom
Energy relative to the elements, uncorrected   122.1 kJ per mole of atoms
Total DFT energy (no corrections)   -3.930 eV/atom



Record 4
This record from Alexandria via LeMat-Bulk describes a relaxed structure of Te2PdWI. The functional is PBE.

Lattice parameters (Å, degrees): 5.199 5.199 5.794 90.00 90.00 90.00
Space group P4/mmm (No. 123)
Unique sites:
Te  0.000  0.500  0.000 [2 per cell]
Pd  0.000  0.000  0.500 [1 per cell]
W  0.500  0.500  0.000 [1 per cell]
I  0.500  0.500  0.500 [1 per cell]

Properties
Polymorph energy (0 for the lowest one)   0.0000 eV per atom
Energy relative to the elements, uncorrected   84.5 kJ per mole of atoms
Total DFT energy (no corrections)   -4.320 eV/atom



Record 5
This record from Alexandria via LeMat-Bulk describes a relaxed structure of YTe2PdI. The functional is PBE.

Lattice parameters (Å, degrees): 5.875 5.875 5.908 90.00 90.00 90.00
Space group P4/mmm (No. 123)
Unique sites:
Y  0.000  0.000  0.000 [1 per cell]
Te  0.000  0.500  0.000 [2 per cell]
Pd  0.500  0.500  0.500 [1 per cell]
I  0.000  0.000  0.500 [1 per cell]

Properties
Polymorph energy (0 for the lowest one)   0.3261 eV per atom
Energy relative to the elements, uncorrected   4.3 kJ per mole of atoms
Total DFT energy (no corrections)   -3.854 eV/atom



Record 6
This record from Alexandria via LeMat-Bulk describes a relaxed structure of YTePdI2. The functional is PBE.

Lattice parameters (Å, degrees): 5.941 5.941 5.963 90.00 90.00 90.00
Space group P4/mmm (No. 123)
Unique sites:
Y  0.000  0.000  0.000 [1 per cell]
Te  0.000  0.000  0.500 [1 per cell]
Pd  0.500  0.500  0.500 [1 per cell]
I  0.000  0.500  0.000 [2 per cell]

Properties
Polymorph energy (0 for the lowest one)   0.0821 eV per atom
Energy relative to the elements, uncorrected   -16.3 kJ per mole of atoms
Total DFT energy (no corrections)   -3.749 eV/atom



Record 7
This record from Alexandria via LeMat-Bulk describes a relaxed structure of Y2TePdI. The functional is PBE.

Lattice parameters (Å, degrees): 5.567 5.567 5.098 90.00 90.00 90.00
Space group P4/mmm (No. 123)
Unique sites:
Y  0.000  0.500  0.000 [2 per cell]
Te  0.000  0.000  0.500 [1 per cell]
Pd  0.000  0.000  0.000 [1 per cell]
I  0.500  0.500  0.500 [1 per cell]

Properties
Energy relative to the elements, uncorrected   -45.3 kJ per mole of atoms
Total DFT energy (no corrections)   -5.032 eV/atom



Record 8
This record from Alexandria via LeMat-Bulk describes a relaxed structure of YTePdI2. The functional is PBE.

Lattice parameters (Å, degrees): 5.329 5.329 5.534 90.00 90.00 90.00
Space group P4/mmm (No. 123)
Unique sites:
Y  0.000  0.000  0.000 [1 per cell]
Te  0.500  0.500  0.000 [1 per cell]
Pd  0.500  0.500  0.500 [1 per cell]
I  0.000  0.500  0.500 [2 per cell]

Properties
Polymorph energy (0 for the lowest one)   0.0000 eV per atom
Energy relative to the elements, uncorrected   -24.3 kJ per mole of atoms
Total DFT energy (no corrections)   -3.831 eV/atom



Record 9
This record from Alexandria via LeMat-Bulk describes a relaxed structure of YTe2PdI. The functional is PBE.

Lattice parameters (Å, degrees): 5.377 5.377 5.286 90.00 90.00 90.00
Space group P4/mmm (No. 123)
Unique sites:
Y  0.000  0.000  0.000 [1 per cell]
Te  0.000  0.500  0.500 [2 per cell]
Pd  0.500  0.500  0.500 [1 per cell]
I  0.500  0.500  0.000 [1 per cell]

Properties
Polymorph energy (0 for the lowest one)   0.0000 eV per atom
Energy relative to the elements, uncorrected   -27.2 kJ per mole of atoms
Total DFT energy (no corrections)   -4.180 eV/atom



Record 10
This record from Alexandria via LeMat-Bulk describes a relaxed structure of ZnTePdI. The functional is PBE.

Lattice parameters (Å, degrees): 8.161 4.130 7.937 90.00 94.12 90.00
Space group Cm (No. 8)
Unique sites:
Zn  0.000  0.000  0.000 [2 per cell]
Te  0.363  0.500  0.688 [2 per cell]
Pd  0.186  0.000  0.747 [2 per cell]
I  0.023  0.500  0.211 [2 per cell]

Properties
Polymorph energy (0 for the lowest one)   0.0310 eV per atom
Energy relative to the elements, uncorrected   -25.9 kJ per mole of atoms
Total DFT energy (no corrections)   -3.058 eV/atom



Record 11
This record from Alexandria via LeMat-Bulk describes a relaxed structure of ZnTePdI. The functional is PBE.

Lattice parameters (Å, degrees): 8.479 4.066 7.824 90.00 122.62 90.00
Space group Cm (No. 8)
Unique sites:
Zn  0.000  0.000  0.000 [2 per cell]
Te  0.364  0.000  0.123 [2 per cell]
Pd  0.074  0.000  0.376 [2 per cell]
I  0.339  0.500  0.593 [2 per cell]

Properties
Polymorph energy (0 for the lowest one)   0.0888 eV per atom
Energy relative to the elements, uncorrected   -20.3 kJ per mole of atoms
Total DFT energy (no corrections)   -3.000 eV/atom



Record 12
This record from Alexandria via LeMat-Bulk describes a relaxed structure of ZnTePdI. The functional is PBE.

Lattice parameters (Å, degrees): 17.729 4.153 3.074 90.00 99.49 90.00
Space group Cm (No. 8)
Unique sites:
Zn  0.000  0.000  0.000 [2 per cell]
Te  0.374  0.000  0.379 [2 per cell]
Pd  0.022  0.500  0.521 [2 per cell]
I  0.175  0.500  0.665 [2 per cell]

Properties
Polymorph energy (0 for the lowest one)   0.1460 eV per atom
Energy relative to the elements, uncorrected   -14.8 kJ per mole of atoms
Total DFT energy (no corrections)   -2.943 eV/atom